Entry 1:
# BeCuMo2 | the Alexandria database | PBE | relaxed
# Crystal system = tetragonal
# M_tot = 0.000 μB/atom
data_BeCuMo2
_cell_length_a 3.6615
_cell_length_b 3.6615
_cell_length_c 7.9591
_cell_angle_alpha 90.00
_cell_angle_beta 90.00
_cell_angle_gamma 90.00
_symmetry_space_group_name_H-M 'I -4 m 2'
_symmetry_Int_Tables_number 119
_symmetry_space_group_name_Hall 'I -4 -2'
loop_
_atom_site_label
_atom_site_type_symbol
_atom_site_fract_x
_atom_site_fract_y
_atom_site_fract_z
Be1 Be 0.0000 0.0000 0.0000
Cu1 Cu 0.0000 0.5000 0.2500
Mo1 Mo 0.0000 0.0000 0.5000
Mo2 Mo 0.0000 0.5000 0.7500

***

Entry 2:
# BeCuMo2 | the Alexandria database | PBE | relaxed
# Crystal system = orthorhombic
# M_tot = 0.000 μB/atom
data_BeCuMo2
_cell_length_a 3.7511
_cell_length_b 3.7628
_cell_length_c 7.4051
_cell_angle_alpha 90.00
_cell_angle_beta 90.00
_cell_angle_gamma 90.00
_symmetry_space_group_name_H-M 'C m m m'
_symmetry_Int_Tables_number 65
_symmetry_space_group_name_Hall '-C 2 2'
loop_
_atom_site_label
_atom_site_type_symbol
_atom_site_fract_x
_atom_site_fract_y
_atom_site_fract_z
Be1 Be 0.0000 0.0000 0.0000
Cu1 Cu 0.0000 0.0000 0.5000
Mo1 Mo 0.0000 0.5000 0.2271

***

Entry 3:
# BeCuMo4 | the Alexandria database | PBE | relaxed
# Crystal system = cubic
# M_tot = 0.000 μB/atom
data_BeCuMo4
_cell_length_a 7.2891
_cell_length_b 7.2891
_cell_length_c 7.2891
_cell_angle_alpha 90.00
_cell_angle_beta 90.00
_cell_angle_gamma 90.00
_symmetry_space_group_name_H-M 'F -4 3 m'
_symmetry_Int_Tables_number 216
_symmetry_space_group_name_Hall 'F -4 2 3'
loop_
_atom_site_label
_atom_site_type_symbol
_atom_site_fract_x
_atom_site_fract_y
_atom_site_fract_z
Be1 Be 0.0000 0.0000 0.0000
Cu1 Cu 0.2500 0.2500 0.7500
Mo1 Mo 0.1249 0.1249 0.3751

***

Entry 4:
# Be3CuMo | the Alexandria database | PBE | relaxed
# Energy above the lowest structure with this stoichiometry = 0.0 meV per atom
# Crystal system = cubic
# M_tot = 0.000 μB/atom
data_Be3CuMo
_cell_length_a 3.8689
_cell_length_b 3.8689
_cell_length_c 3.8689
_cell_angle_alpha 90.00
_cell_angle_beta 90.00
_cell_angle_gamma 90.00
_symmetry_space_group_name_H-M 'P m -3 m'
_symmetry_Int_Tables_number 221
_symmetry_space_group_name_Hall '-P 4 2 3'
loop_
_atom_site_label
_atom_site_type_symbol
_atom_site_fract_x
_atom_site_fract_y
_atom_site_fract_z
Be1 Be 0.0000 0.0000 0.5000
Cu1 Cu 0.0000 0.0000 0.0000
Mo1 Mo 0.5000 0.5000 0.5000

***

Entry 5:
# BeCuMo2 | the Alexandria database | PBE | relaxed
# Crystal system = monoclinic
# M_tot = 0.000 μB/atom
data_BeCuMo2
_cell_length_a 5.1686
_cell_length_b 7.8678
_cell_length_c 2.6259
_cell_angle_alpha 90.00
_cell_angle_beta 91.23
_cell_angle_gamma 90.00
_symmetry_space_group_name_H-M 'C 1 2/m 1'
_symmetry_Int_Tables_number 12
loop_
_symmetry_equiv_pos_as_xyz
'x,y,z'
'-x,-y,-z'
'-x,y,-z'
'x,-y,z'
'x+1/2,y+1/2,z'
'-x+1/2,-y+1/2,-z'
'-x+1/2,y+1/2,-z'
'x+1/2,-y+1/2,z'
loop_
_atom_site_label
_atom_site_type_symbol
_atom_site_fract_x
_atom_site_fract_y
_atom_site_fract_z
Be1 Be 0.0000 0.0000 0.0000
Cu1 Cu 0.0000 0.5000 0.0000
Mo1 Mo 0.2500 0.2500 0.5000

***

Entry 6:
# BeCuMo2 | the Alexandria database | PBE | relaxed
# Crystal system = tetragonal
# M_tot = 0.000 μB/atom
data_BeCuMo2
_cell_length_a 3.5831
_cell_length_b 3.5831
_cell_length_c 18.3619
_cell_angle_alpha 90.00
_cell_angle_beta 90.00
_cell_angle_gamma 90.00
_symmetry_space_group_name_H-M 'I -4 2 d'
_symmetry_Int_Tables_number 122
_symmetry_space_group_name_Hall 'I -4 2bw'
loop_
_atom_site_label
_atom_site_type_symbol
_atom_site_fract_x
_atom_site_fract_y
_atom_site_fract_z
Be1 Be 0.0000 0.0000 0.0000
Cu1 Cu 0.0000 0.0000 0.5000
Mo1 Mo 0.2400 0.2500 0.1250

***

Entry 7:
# BeCuMo2 | the Alexandria database | PBE | relaxed
# Crystal system = monoclinic
# M_tot = 0.000 μB/atom
data_BeCuMo2
_cell_length_a 2.7038
_cell_length_b 4.1013
_cell_length_c 4.8650
_cell_angle_alpha 90.00
_cell_angle_beta 98.01
_cell_angle_gamma 90.00
_symmetry_space_group_name_H-M 'P 1 m 1'
_symmetry_Int_Tables_number 6
loop_
_symmetry_equiv_pos_as_xyz
'x,y,z'
'x,-y,z'
loop_
_atom_site_label
_atom_site_type_symbol
_atom_site_fract_x
_atom_site_fract_y
_atom_site_fract_z
Be1 Be 0.0000 0.0000 0.0000
Cu1 Cu 0.0443 0.5000 0.2516
Mo1 Mo 0.4210 0.5000 0.7844
Mo2 Mo 0.6271 0.0000 0.4935

***

Entry 8:
# BeCuMo2 | the Alexandria database | PBE | relaxed
# Crystal system = tetragonal
# M_tot = 0.000 μB/atom
data_BeCuMo2
_cell_length_a 4.5379
_cell_length_b 4.5379
_cell_length_c 2.5659
_cell_angle_alpha 90.00
_cell_angle_beta 90.00
_cell_angle_gamma 90.00
_symmetry_space_group_name_H-M 'P 4/m m m'
_symmetry_Int_Tables_number 123
_symmetry_space_group_name_Hall '-P 4 2'
loop_
_atom_site_label
_atom_site_type_symbol
_atom_site_fract_x
_atom_site_fract_y
_atom_site_fract_z
Be1 Be 0.0000 0.0000 0.0000
Cu1 Cu 0.5000 0.5000 0.0000
Mo1 Mo 0.0000 0.5000 0.5000

***

Entry 9:
# BeCuMo2 | the Alexandria database | PBE | relaxed
# Crystal system = tetragonal
# M_tot = 0.000 μB/atom
data_BeCuMo2
_cell_length_a 3.6610
_cell_length_b 3.6610
_cell_length_c 7.9449
_cell_angle_alpha 90.00
_cell_angle_beta 90.00
_cell_angle_gamma 90.00
_symmetry_space_group_name_H-M 'I 4/m m m'
_symmetry_Int_Tables_number 139
_symmetry_space_group_name_Hall '-I 4 2'
loop_
_atom_site_label
_atom_site_type_symbol
_atom_site_fract_x
_atom_site_fract_y
_atom_site_fract_z
Be1 Be 0.0000 0.0000 0.0000
Cu1 Cu 0.0000 0.0000 0.5000
Mo1 Mo 0.0000 0.5000 0.2500

***

Entry 10:
# BeCuMo2 | the Alexandria database | PBE | relaxed
# Crystal system = orthorhombic
# M_tot = 0.000 μB/atom
data_BeCuMo2
_cell_length_a 3.4502
_cell_length_b 4.0208
_cell_length_c 7.5331
_cell_angle_alpha 90.00
_cell_angle_beta 90.00
_cell_angle_gamma 90.00
_symmetry_space_group_name_H-M 'C m m 2'
_symmetry_Int_Tables_number 35
loop_
_symmetry_equiv_pos_as_xyz
'x,y,z'
'-x,-y,z'
'-x,y,z'
'x,-y,z'
'x+1/2,y+1/2,z'
'-x+1/2,-y+1/2,z'
'-x+1/2,y+1/2,z'
'x+1/2,-y+1/2,z'
loop_
_atom_site_label
_atom_site_type_symbol
_atom_site_fract_x
_atom_site_fract_y
_atom_site_fract_z
Be1 Be 0.0000 0.0000 0.0000
Cu1 Cu 0.0000 0.5000 0.8140
Mo1 Mo 0.0000 0.0000 0.5412
Mo2 Mo 0.0000 0.5000 0.2341

***

Entry 11:
# BeCuMo2 | the Alexandria database | PBE | relaxed
# Crystal system = orthorhombic
# M_tot = 0.000 μB/atom
data_BeCuMo2
_cell_length_a 2.5869
_cell_length_b 3.9483
_cell_length_c 5.3538
_cell_angle_alpha 90.00
_cell_angle_beta 90.00
_cell_angle_gamma 90.00
_symmetry_space_group_name_H-M 'P m m 2'
_symmetry_Int_Tables_number 25
loop_
_symmetry_equiv_pos_as_xyz
'x,y,z'
'-x,-y,z'
'-x,y,z'
'x,-y,z'
loop_
_atom_site_label
_atom_site_type_symbol
_atom_site_fract_x
_atom_site_fract_y
_atom_site_fract_z
Be1 Be 0.0000 0.0000 0.0000
Cu1 Cu 0.5000 0.5000 0.2301
Mo1 Mo 0.0000 0.0000 0.4933
Mo2 Mo 0.5000 0.5000 0.7584

***

Entry 12:
# BeCuMo2 | the Alexandria database | PBE | relaxed
# Crystal system = cubic
# M_tot = 0.000 μB/atom
data_BeCuMo2
_cell_length_a 6.0329
_cell_length_b 6.0329
_cell_length_c 6.0329
_cell_angle_alpha 90.00
_cell_angle_beta 90.00
_cell_angle_gamma 90.00
_symmetry_space_group_name_H-M 'F -4 3 m'
_symmetry_Int_Tables_number 216
_symmetry_space_group_name_Hall 'F -4 2 3'
loop_
_atom_site_label
_atom_site_type_symbol
_atom_site_fract_x
_atom_site_fract_y
_atom_site_fract_z
Be1 Be 0.0000 0.0000 0.0000
Cu1 Cu 0.2500 0.2500 0.2500
Mo1 Mo 0.0000 0.0000 0.5000
Mo2 Mo 0.2500 0.2500 0.7500

***

Number 1: energy -7.168 eV/atom, ΔE_f 4.685 kcal/mol of atoms. Number 2: energy -7.251 eV/atom, ΔE_f 2.767 kcal/mol of atoms. Number 3: energy -7.778 eV/atom, ΔE_f 17.223 kcal/mol of atoms. Number 4: energy -4.602 eV/atom, ΔE_f 14.286 kcal/mol of atoms. Number 5: energy -7.199 eV/atom, ΔE_f 3.965 kcal/mol of atoms. Number 6: energy -6.673 eV/atom, ΔE_f 16.108 kcal/mol of atoms. Number 7: energy -7.257 eV/atom, ΔE_f 2.638 kcal/mol of atoms. Number 8: energy -7.098 eV/atom, ΔE_f 6.297 kcal/mol of atoms. Number 9: energy -7.220 eV/atom, ΔE_f 3.476 kcal/mol of atoms. Number 10: energy -7.283 eV/atom, ΔE_f 2.042 kcal/mol of atoms. Number 11: energy -7.079 eV/atom, ΔE_f 6.729 kcal/mol of atoms. Number 12: energy -7.006 eV/atom, ΔE_f 8.416 kcal/mol of atoms.